# Zn2Rh2Br | Alexandria via LeMat-Bulk | PBE-GGA | optimized geometry
# - E_tot (eV per cell) = -17.85
# - total moment (μB per cell) = 0.0
# - energy relative to the elements, uncorrected (kJ/mol of atoms) = 20.8
data_Zn2Rh2Br
_chemical_formula_sum 'Zn2 Rh2 Br1'
_space_group_name_H-M_alt 'P 1'
_space_group_IT_number 1
_space_group_name_Hall 'P 1'
_cell_length_a 7.0984
_cell_length_b 7.0984
_cell_length_c 7.0984
_cell_angle_alpha 151.22
_cell_angle_beta 151.22
_cell_angle_gamma 41.16
loop_
_atom_site_label
_atom_site_type_symbol
_atom_site_fract_x
_atom_site_fract_y
_atom_site_fract_z
_atom_site_occupancy
Zn1 Zn 0.2500 0.7500 0.5000 1
Zn2 Zn 0.7500 0.2500 0.5000 1
Rh1 Rh 0.1038 0.1038 0.0000 1
Rh2 Rh 0.8962 0.8962 0.0000 1
Br1 Br 0.5000 0.5000 0.0000 1